(1)
An optimized crystal structure of RbAlAgSe3, computed with PBE.

Cell lengths 7.883, 7.883, 6.940 Å; angles 90.00, 90.00, 127.83 degrees
Sites, in units of the cell vectors:
Rb: 0.245 0.755 0.750
Rb: 0.755 0.245 0.250
Al: 0.073 0.927 0.250
Al: 0.927 0.073 0.750
Ag: 0.431 0.569 0.250
Ag: 0.569 0.431 0.750
Se: 0.232 0.232 0.000
Se: 0.232 0.232 0.500
Se: 0.236 0.764 0.250
Se: 0.764 0.236 0.750
Se: 0.768 0.768 0.000
Se: 0.768 0.768 0.500

Properties
The value obtained for the formation energy (no corrections) is -0.6498 eV/atom. The value obtained for the density of states at the Fermi level is 5.2 states/eV per cell. The value obtained for the volume is 28.38 A^3/atom. As for the space group: No. 63. The calculation puts the total energy at -21.9 eV/f.u.

(2)
An optimized crystal structure of AlRe2Ag, computed with PBE.

Cell lengths 3.765, 3.765, 8.780 Å; angles 90.00, 90.00, 90.00 degrees
Sites, in units of the cell vectors:
Al: 0.000 0.000 0.000
Al: 0.500 0.500 0.500
Re: 0.000 0.500 0.250
Re: 0.000 0.500 0.750
Re: 0.500 0.000 0.250
Re: 0.500 0.000 0.750
Ag: 0.000 0.000 0.500
Ag: 0.500 0.500 0.000

Properties
The value obtained for the density of states at the Fermi level is 9.2 states/eV per cell. The value obtained for the volume is 15.56 A^3/atom. As for the space group: No. 139. The calculation puts the total energy at -29.6 eV/f.u. The calculation puts the formation energy at 0.467 eV/atom.

(3)
An optimized crystal structure of Al2ReAg, computed with PBE.

Cell lengths 2.747, 2.747, 8.400 Å; angles 90.00, 90.00, 90.00 degrees
Sites, in units of the cell vectors:
Al: 0.000 0.000 0.000
Al: 0.500 0.500 0.250
Re: 0.000 0.000 0.478
Ag: 0.500 0.500 0.748

Properties
The value obtained for the density of states at the Fermi level is 3.2 states/eV per cell. The value obtained for the volume is 15.85 A^3/atom. As for the space group: No. 99. The calculation puts the total energy at -21.9 eV/f.u. The calculation puts the offset from the most stable computed form at 315 meV/atom. The calculation puts the formation energy at 0.226 eV/atom.

(4)
An optimized crystal structure of AlRe2Ag, computed with PBE.

Cell lengths 9.026, 2.790, 4.969 Å; angles 90.00, 98.32, 90.00 degrees
Sites, in units of the cell vectors:
Al: 0.000 0.000 0.000
Al: 0.500 0.500 0.000
Re: 0.241 0.500 0.288
Re: 0.489 0.000 0.481
Re: 0.741 0.000 0.288
Re: 0.989 0.500 0.481
Ag: 0.246 0.000 0.788
Ag: 0.746 0.500 0.788

Properties
The value obtained for the density of states at the Fermi level is 7.3 states/eV per cell. The value obtained for the volume is 15.48 A^3/atom. As for the space group: No. 8. The calculation puts the total energy at -30.5 eV/f.u. The calculation puts the formation energy at 0.257 eV/atom.

(5)
An optimized crystal structure of AlRe2Ag, computed with PBE.

Cell lengths 3.079, 4.408, 9.139 Å; angles 90.00, 90.00, 90.00 degrees
Sites, in units of the cell vectors:
Al: 0.000 0.000 0.000
Al: 0.500 0.500 0.000
Re: 0.000 0.500 0.232
Re: 0.000 0.500 0.768
Re: 0.500 0.000 0.232
Re: 0.500 0.000 0.768
Ag: 0.000 0.000 0.500
Ag: 0.500 0.500 0.500

Properties
The value obtained for the density of states at the Fermi level is 5.1 states/eV per cell. The value obtained for the volume is 15.51 A^3/atom. As for the space group: No. 65. The calculation puts the total energy at -30.2 eV/f.u. The calculation puts the formation energy at 0.314 eV/atom.

(6)
An optimized crystal structure of Al2ReAg, computed with PBE.

Cell lengths 3.350, 3.350, 5.615 Å; angles 90.00, 90.00, 90.00 degrees
Sites, in units of the cell vectors:
Al: 0.000 0.000 0.000
Al: 0.500 0.500 0.279
Re: 0.000 0.000 0.463
Ag: 0.500 0.500 0.774

Properties
The value obtained for the density of states at the Fermi level is 3.2 states/eV per cell. The value obtained for the volume is 15.75 A^3/atom. As for the space group: No. 99. The calculation puts the total energy at -22.2 eV/f.u. The calculation puts the offset from the most stable computed form at 244 meV/atom. The calculation puts the formation energy at 0.155 eV/atom.

(7)
An optimized crystal structure of Al2ReAg, computed with PBE.

Cell lengths 2.887, 2.887, 26.248 Å; angles 90.00, 90.00, 120.00 degrees
Sites, in units of the cell vectors:
Al: 0.000 0.000 0.245
Al: 0.000 0.000 0.755
Al: 0.333 0.667 0.422
Al: 0.333 0.667 0.912
Al: 0.667 0.333 0.088
Al: 0.667 0.333 0.578
Re: 0.000 0.000 0.500
Re: 0.333 0.667 0.167
Re: 0.667 0.333 0.833
Ag: 0.000 0.000 0.000
Ag: 0.333 0.667 0.667
Ag: 0.667 0.333 0.333

Properties
The value obtained for the density of states at the Fermi level is 7.4 states/eV per cell. The value obtained for the volume is 15.79 A^3/atom. As for the space group: No. 166. The calculation puts the total energy at -22.9 eV/f.u. The calculation puts the offset from the most stable computed form at 55 meV/atom. The calculation puts the formation energy at -0.034 eV/atom.

(8)
An optimized crystal structure of AlReAg, computed with PBE.

Cell lengths 2.824, 2.824, 6.817 Å; angles 90.00, 90.00, 120.00 degrees
Sites, in units of the cell vectors:
Al: 0.000 0.000 0.000
Re: 0.333 0.667 0.308
Ag: 0.667 0.333 0.669

Properties
The value obtained for the density of states at the Fermi level is 2.2 states/eV per cell. The value obtained for the volume is 15.69 A^3/atom. As for the space group: No. 156. The calculation puts the total energy at -18.5 eV/f.u. The calculation puts the offset from the most stable computed form at 327 meV/atom. The calculation puts the formation energy at 0.180 eV/atom.

(9)
An optimized crystal structure of Al2ReAg, computed with PBE.

Cell lengths 9.745, 2.891, 4.570 Å; angles 90.00, 107.34, 90.00 degrees
Sites, in units of the cell vectors:
Al: 0.000 0.000 0.000
Al: 0.249 0.500 0.376
Al: 0.500 0.500 0.000
Al: 0.749 0.000 0.376
Re: 0.260 0.000 0.889
Re: 0.760 0.500 0.889
Ag: 0.499 0.000 0.507
Ag: 0.999 0.500 0.507

Properties
The value obtained for the density of states at the Fermi level is 4.0 states/eV per cell. The value obtained for the volume is 15.36 A^3/atom. As for the space group: No. 8. The calculation puts the total energy at -22.9 eV/f.u. The calculation puts the offset from the most stable computed form at 52 meV/atom. The calculation puts the formation energy at -0.038 eV/atom.

(10)
An optimized crystal structure of AlRe2Ag, computed with PBE.

Cell lengths 2.972, 2.972, 7.087 Å; angles 90.00, 90.00, 90.00 degrees
Sites, in units of the cell vectors:
Al: 0.000 0.000 0.000
Re: 0.000 0.000 0.452
Re: 0.500 0.500 0.238
Ag: 0.500 0.500 0.750

Properties
The value obtained for the density of states at the Fermi level is 2.3 states/eV per cell. The value obtained for the volume is 15.65 A^3/atom. As for the space group: No. 99. The calculation puts the total energy at -31.2 eV/f.u. The calculation puts the formation energy at 0.063 eV/atom.

(11)
An optimized crystal structure of AlReAg, computed with PBE.

Cell lengths 5.957, 5.957, 5.957 Å; angles 90.00, 90.00, 90.00 degrees
Sites, in units of the cell vectors:
Al: 0.000 0.000 0.000
Al: 0.000 0.500 0.500
Al: 0.500 0.000 0.500
Al: 0.500 0.500 0.000
Re: 0.250 0.250 0.750
Re: 0.250 0.750 0.250
Re: 0.750 0.250 0.250
Re: 0.750 0.750 0.750
Ag: 0.250 0.250 0.250
Ag: 0.250 0.750 0.750
Ag: 0.750 0.250 0.750
Ag: 0.750 0.750 0.250

Properties
The value obtained for the density of states at the Fermi level is 15.2 states/eV per cell. The value obtained for the volume is 17.61 A^3/atom. As for the space group: No. 216. The calculation puts the total energy at -16.6 eV/f.u. The calculation puts the offset from the most stable computed form at 954 meV/atom. The calculation puts the formation energy at 0.807 eV/atom.

(12)
An optimized crystal structure of AlRe2Ag, computed with PBE.

Cell lengths 3.134, 4.533, 8.612 Å; angles 90.00, 90.00, 90.00 degrees
Sites, in units of the cell vectors:
Al: 0.000 0.000 0.000
Al: 0.500 0.500 0.500
Re: 0.000 0.000 0.484
Re: 0.000 0.500 0.746
Re: 0.500 0.000 0.246
Re: 0.500 0.500 0.984
Ag: 0.000 0.500 0.257
Ag: 0.500 0.000 0.757

Properties
The value obtained for the density of states at the Fermi level is 4.5 states/eV per cell. The value obtained for the volume is 15.29 A^3/atom. As for the space group: No. 44. The calculation puts the total energy at -30.2 eV/f.u. The calculation puts the formation energy at 0.329 eV/atom.

(13)
An optimized crystal structure of Al2ReAg, computed with PBE.

Cell lengths 3.280, 4.110, 9.095 Å; angles 90.00, 90.00, 90.00 degrees
Sites, in units of the cell vectors:
Al: 0.000 0.000 0.000
Al: 0.000 0.500 0.240
Al: 0.500 0.000 0.740
Al: 0.500 0.500 0.500
Re: 0.000 0.500 0.738
Re: 0.500 0.000 0.238
Ag: 0.000 0.000 0.494
Ag: 0.500 0.500 0.994

Properties
The value obtained for the density of states at the Fermi level is 4.7 states/eV per cell. The value obtained for the volume is 15.33 A^3/atom. As for the space group: No. 44. The calculation puts the total energy at -22.6 eV/f.u. The calculation puts the offset from the most stable computed form at 126 meV/atom. The calculation puts the formation energy at 0.037 eV/atom.